Entry 1:
Below is TmInCoIr after structural relaxation, with properties calculated at the GGA-PBE level.

Unit cell a=4.6105 b=4.6105 c=4.6105 alpha=60.00 beta=60.00 gamma=60.00
With the nearest neighbours (Å) after each atom.
Element x y z (fractional)
1 Tm 0.7500 0.7500 0.7500  4 Co 2.82, 4 Ir 2.82
2 Ir 0.0000 0.0000 0.0000  4 In 2.82, 4 Tm 2.82
3 Co 0.5000 0.5000 0.5000  4 In 2.82, 4 Tm 2.82
4 In 0.2500 0.2500 0.2500  4 Co 2.82, 4 Ir 2.82

Output
Its crystal system is cubic. Its total energy is -24.645 eV/cell. Its space-group type is F-43m, No. 216.

***

Entry 2:
Below is UInCoIr after structural relaxation, with properties calculated at the GGA-PBE level.

Unit cell a=4.6739 b=4.6739 c=4.6739 alpha=60.00 beta=60.00 gamma=60.00
With the nearest neighbours (Å) after each atom.
Element x y z (fractional)
1 Ir 0.0000 0.0000 0.0000  4 U 2.86, 4 In 2.86
2 U 0.2500 0.2500 0.2500  4 Co 2.86, 4 Ir 2.86
3 Co 0.5000 0.5000 0.5000  4 In 2.86, 4 U 2.86
4 In 0.7500 0.7500 0.7500  4 Co 2.86, 4 Ir 2.86

Output
Its crystal system is cubic. Its total energy is -30.655 eV/cell. Its space-group type is F-43m, No. 216.

***

Entry 3:
Below is Y2InCoIr after structural relaxation, with properties calculated at the GGA-PBE level.

Unit cell a=5.6076 b=4.7983 c=5.6076 alpha=90.00 beta=90.00 gamma=90.00
With the nearest neighbours (Å) after each atom.
Element x y z (fractional)
1 Y 0.0000 0.0000 0.5000  2 In 2.80
2 Y 0.5000 0.0000 0.0000  2 In 2.80
3 Co 0.5000 0.5000 0.5000  8 Y 3.69, 4 Ir 3.97
4 Ir 0.0000 0.5000 0.0000  2 In 2.40
5 In 0.0000 0.0000 0.0000  2 Ir 2.40

Output
Its crystal system is tetragonal. Its total energy is -26.217 eV/cell. Its space-group type is P4/mmm, No. 123.

***

Entry 4:
Below is ZrInCoIr after structural relaxation, with properties calculated at the GGA-PBE level.

Unit cell a=4.5601 b=4.5601 c=4.5601 alpha=60.00 beta=60.00 gamma=60.00
With the nearest neighbours (Å) after each atom.
Element x y z (fractional)
1 In 0.2500 0.2500 0.2500  4 Ir 2.79, 4 Co 2.79
2 Co 0.5000 0.5000 0.5000  4 Zr 2.79, 4 In 2.79
3 Zr 0.7500 0.7500 0.7500  4 Co 2.79, 4 Ir 2.79
4 Ir 0.0000 0.0000 0.0000  4 Zr 2.79, 4 In 2.79

Output
Its crystal system is cubic. Its total energy is -28.983 eV/cell. Its space-group type is F-43m, No. 216.

***

Entry 5:
Below is KInCo2 after structural relaxation, with properties calculated at the GGA-PBE level.

Unit cell a=2.8828 b=4.2285 c=7.1502 alpha=90.00 beta=90.00 gamma=90.00
With the nearest neighbours (Å) after each atom.
Element x y z (fractional)
1 K 0.5000 0.5000 0.7500  2 K 2.88
2 Co 0.0000 0.0000 0.0996  1 Co 2.15
3 Co 0.0000 0.0000 0.4004  1 Co 2.15
4 In 0.5000 0.5000 0.2500  8 Co 2.78, 2 In 2.88

Output
Its crystal system is orthorhombic. Its total energy is -15.672 eV/cell. Its space-group type is Pmmm, No. 47.

***

Entry 6:
Below is KIn2Co after structural relaxation, with properties calculated at the GGA-PBE level.

Unit cell a=4.5937 b=4.5937 c=4.7179 alpha=90.00 beta=90.00 gamma=90.00
With the nearest neighbours (Å) after each atom.
Element x y z (fractional)
1 Co 0.0000 0.5000 0.5000  4 K 3.25, 8 In 3.29
2 In 0.0000 0.0000 0.0000  4 In 3.25, 4 Co 3.29, 4 K 3.29
3 In 0.5000 0.5000 0.0000  4 In 3.25, 4 Co 3.29, 4 K 3.29
4 K 0.5000 0.0000 0.5000  4 Co 3.25, 8 In 3.29

Output
Its crystal system is tetragonal. The energy above the most stable polymorph in this dataset is 179 kJ/mol of formula units. Its total energy is -11.240 eV/cell. Its space-group type is P4/mmm, No. 123.

***

Entry 7:
Below is KInCo2 after structural relaxation, with properties calculated at the GGA-PBE level.

Unit cell a=2.7721 b=6.0070 c=5.7921 alpha=51.91 beta=90.00 gamma=90.00
With the nearest neighbours (Å) after each atom.
Element x y z (fractional)
1 In 0.5000 0.5000 0.5000  2 In 2.77, 6 Co 2.90-2.93
2 K 0.0000 0.0000 0.5000  2 K 2.77, 6 Co 2.90-2.93
3 Co 0.5000 0.5000 0.0000  2 Co 2.77, 2 In 2.90, 4 K 2.93
4 Co 0.0000 0.0000 0.0000  2 Co 2.77, 2 K 2.90, 4 In 2.93

Output
Its crystal system is monoclinic. Its total energy is -14.068 eV/cell. Its space-group type is P2/m, No. 10.

***

Entry 8:
Below is KIn2Co after structural relaxation, with properties calculated at the GGA-PBE level.

Unit cell a=8.4628 b=8.4628 c=8.4628 alpha=159.05 beta=150.87 gamma=36.15
With the nearest neighbours (Å) after each atom.
Element x y z (fractional)
1 K 0.4295 0.4295 0.0000  2 K 3.08
2 Co 0.2304 0.7304 0.5000  6 In 2.64-2.67
3 In 0.7456 0.2456 0.5000  4 Co 2.64
4 In 0.0946 0.0946 0.0000  2 Co 2.67

Output
Its crystal system is orthorhombic. The energy above the most stable polymorph in this dataset is 4 kJ/mol of formula units. Its total energy is -13.055 eV/cell. Its space-group type is Imm2, No. 44.

***

no.,mass density (g/cm3),energy of formation from the pure elements (kJ/mol of atoms)
1,12.8,-35.4
2,13.9,-16.0
3,6.0,104.5
4,11.3,-41.7
5,5.2,57.3
6,5.5,58.9
7,5.9,96.0
8,5.2,15.1